# 1
VASP calculation (PBE-GGA) on crystalline Be2Cl at its relaxed geometry.

Cell and atoms, written as POSCAR:
```
Be2Cl
1.0
1.4666 -13.5857 0.0000
1.4666 13.5857 0.0000
0.0000 0.0000 2.8382
Be Cl
4 2
direct
0.4640 0.5360 0.7500 Be
0.5360 0.4640 0.2500 Be
0.7604 0.2396 0.7500 Be
0.2396 0.7604 0.2500 Be
0.0796 0.9204 0.7500 Cl
0.9204 0.0796 0.2500 Cl
```

energy above the most stable polymorph in this dataset	648.0	meV per atom
crystal system	orthorhombic
DOS at the Fermi energy	0.1904	states/eV per atom
raw formation energy	0.9	eV per formula unit

=====

# 2
VASP calculation (PBE-GGA) on crystalline Sb3AuO at its relaxed geometry.

Cell and atoms, written as POSCAR:
```
Sb3AuO
1.0
4.7837 0.0000 0.0000
0.0000 4.7837 0.0000
0.0000 0.0000 4.7837
Sb Au O
3 1 1
direct
0.0000 0.5000 0.0000 Sb
0.0000 0.0000 0.5000 Sb
0.5000 0.0000 0.0000 Sb
0.5000 0.5000 0.5000 Au
0.0000 0.0000 0.0000 O
```

energy above the most stable polymorph in this dataset	0.0	meV per atom
crystal system	cubic
DOS at the Fermi energy	0.7619	states/eV per atom
raw formation energy	0.5	eV per formula unit

=====

# 3
VASP calculation (PBE-GGA) on crystalline HfMg at its relaxed geometry.

Cell and atoms, written as POSCAR:
```
HfMg
1.0
-2.5431 -1.8780 -4.7135
1.1720 -5.3473 1.4982
-5.0771 -0.3107 2.8630
Hf Mg
4 4
direct
0.8243 0.8243 0.0000 Hf
0.3243 0.6757 0.5000 Hf
0.6757 0.3243 0.5000 Hf
0.1757 0.1757 0.0000 Hf
0.6774 0.3226 0.0000 Mg
0.1774 0.1774 0.5000 Mg
0.8226 0.8226 0.5000 Mg
0.3226 0.6774 0.0000 Mg
```

crystal system	tetragonal
DOS at the Fermi energy	1.2641	states/eV per atom
energy relative to the elements	758	meV/atom

=====

# 4
VASP calculation (PBE-GGA) on crystalline NdDy2ScTe6 at its relaxed geometry.

Cell and atoms, written as POSCAR:
```
NdDy2ScTe6
1.0
7.6624 -0.0003 0.0006
3.8309 6.6363 0.0004
3.8311 2.2124 6.9916
Nd Dy Sc Te
1 2 1 6
direct
0.8218 0.8217 0.5347 Nd
0.5111 0.5111 0.4667 Dy
0.0079 0.0079 0.9764 Dy
0.3255 0.3256 0.0233 Sc
0.5879 0.2356 0.2451 Te
0.2357 0.9314 0.2451 Te
0.9313 0.5879 0.2451 Te
0.4073 0.7200 0.7596 Te
0.7200 0.1132 0.7596 Te
0.1131 0.4072 0.7596 Te
```

crystal system	trigonal
raw formation energy	-13.1	eV per formula unit

=====

# 5
VASP calculation (PBE-GGA) on crystalline LuUOsRh at its relaxed geometry.

Cell and atoms, written as POSCAR:
```
LuUOsRh
1.0
-0.8308 -2.5099 -3.9855
-2.4344 -4.1105 0.2264
-4.4299 -0.2571 -1.7844
Os Lu U Rh
1 1 1 1
direct
0.5000 0.5000 0.5000 Os
0.2500 0.2500 0.2500 Lu
0.7500 0.7500 0.7500 U
0.0000 0.0000 0.0000 Rh
```

crystal system	cubic
DOS at the Fermi energy	1.9704	states/eV per atom
energy relative to the elements	-390	meV/atom

=====

# 6
VASP calculation (PBE-GGA) on crystalline Ti3Pb3N5 at its relaxed geometry.

Cell and atoms, written as POSCAR:
```
Ti3Pb3N5
1.0
-4.8208 2.9398 2.4166
-0.6054 -7.0155 3.1616
6.3653 3.6270 4.9265
Ti Pb N
6 6 10
direct
0.9086 0.3083 0.9604 Ti
0.0914 0.6917 0.0396 Ti
0.7004 0.9957 0.5999 Ti
0.2996 0.0043 0.4001 Ti
0.1281 0.9492 0.7315 Ti
0.8718 0.0508 0.2685 Ti
0.7575 0.4871 0.5321 Pb
0.2425 0.5129 0.4679 Pb
0.6021 0.8287 0.8931 Pb
0.3979 0.1713 0.1069 Pb
0.6464 0.6359 0.2038 Pb
0.3536 0.3641 0.7962 Pb
0.9499 0.1551 0.7661 N
0.0501 0.8449 0.2339 N
0.8490 0.8067 0.5942 N
0.1510 0.1933 0.4058 N
0.7957 0.5274 0.9581 N
0.2043 0.4726 0.0419 N
0.3713 0.9536 0.6097 N
0.6287 0.0464 0.3903 N
0.2102 0.8584 0.9118 N
0.7898 0.1416 0.0882 N
```

crystal system	triclinic
DOS at the Fermi energy	0.1677	states/eV per atom
raw formation energy	-6.1	eV per formula unit

=====

Number 1: spin magnetization 0.00 μB/atom. Number 2: spin magnetization 0.00 μB/atom. Number 3: spin magnetization 0.17 μB/atom. Number 4: spin magnetization 0.00 μB/atom. Number 5: spin magnetization 0.47 μB/atom. Number 6: spin magnetization 0.00 μB/atom.